No. 1
{"formula": "YW3I", "functional": "PBE", "state": "relaxed", "lattice_angstrom": [[4.9736, 0.0000, 0.0000], [0.0000, 4.9736, 0.0000], [0.0000, 0.0000, 4.9736]], "species": ["Y", "W", "W", "W", "I"], "frac_coords": [[0.0000, 0.0000, 0.0000], [0.0000, 0.0000, 0.5000], [0.0000, 0.5000, 0.0000], [0.5000, 0.0000, 0.0000], [0.5000, 0.5000, 0.5000]], "magnetic_moment_mub_per_fu": 0.0, "relative_energy_ev_per_atom": 1.0843, "crystal_system": "cubic", "formation_energy_uncorrected_kj_per_mol_atoms": 312.0, "space_group": "Pm-3m", "total_energy_ev_per_atom": -6.14}

No. 2
{"formula": "CeLuZnIn", "functional": "PBE", "state": "relaxed", "lattice_angstrom": [[0.0000, 3.6859, 3.6859], [3.6859, 0.0000, 3.6859], [3.6859, 3.6859, 0.0000]], "species": ["Ce", "Lu", "Zn", "In"], "frac_coords": [[0.0000, 0.0000, 0.0000], [0.5000, 0.5000, 0.5000], [0.7500, 0.7500, 0.7500], [0.2500, 0.2500, 0.2500]], "magnetic_moment_mub_per_fu": 0.6, "crystal_system": "cubic", "space_group": "F-43m", "total_energy_ev_per_atom": -3.92}

No. 3
{"formula": "TbGdCdSb", "functional": "PBE", "state": "relaxed", "lattice_angstrom": [[0.0000, 3.7783, 3.7783], [3.7783, 0.0000, 3.7783], [3.7783, 3.7783, 0.0000]], "species": ["Tb", "Gd", "Cd", "Sb"], "frac_coords": [[0.0000, 0.0000, 0.0000], [0.5000, 0.5000, 0.5000], [0.7500, 0.7500, 0.7500], [0.2500, 0.2500, 0.2500]], "magnetic_moment_mub_per_fu": 7.6, "crystal_system": "cubic", "formation_energy_uncorrected_kj_per_mol_atoms": -53.2, "space_group": "F-43m", "total_energy_ev_per_atom": -6.49}

No. 4
{"formula": "AlCdSe2", "functional": "PBE", "state": "relaxed", "lattice_angstrom": [[-3.3569, 3.3569, 4.9020], [3.3569, -3.3569, 4.9020], [3.3569, 3.3569, -4.9020]], "species": ["Al", "Al", "Cd", "Cd", "Se", "Se", "Se", "Se"], "frac_coords": [[0.0000, 0.0000, 0.0000], [0.7500, 0.2500, 0.5000], [0.2500, 0.7500, 0.5000], [0.5000, 0.5000, 0.0000], [0.0658, 0.6250, 0.9408], [0.3750, 0.3158, 0.4408], [0.6842, 0.1250, 0.0592], [0.8750, 0.9342, 0.5592]], "magnetic_moment_mub_per_fu": 0.0, "relative_energy_ev_per_atom": 0.0508, "crystal_system": "tetragonal", "formation_energy_uncorrected_kj_per_mol_atoms": -45.8, "space_group": "I-42d", "total_energy_ev_per_atom": -3.38}

No. 5
{"formula": "AcPmSm2Dy", "functional": "PBE", "state": "relaxed", "lattice_angstrom": [[4.1942, -6.1103, 0.0000], [4.1942, 6.1103, 0.0000], [0.0000, 0.0000, 7.3354]], "species": ["Ac", "Ac", "Pm", "Pm", "Sm", "Sm", "Sm", "Sm", "Dy", "Dy"], "frac_coords": [[0.2430, 0.7570, 0.7500], [0.7570, 0.2430, 0.2500], [0.0558, 0.9442, 0.2500], [0.9442, 0.0558, 0.7500], [0.3057, 0.3057, 0.0000], [0.3057, 0.3057, 0.5000], [0.6943, 0.6943, 0.0000], [0.6943, 0.6943, 0.5000], [0.3061, 0.6939, 0.2500], [0.6939, 0.3061, 0.7500]], "magnetic_moment_mub_per_fu": 0.0, "crystal_system": "orthorhombic", "space_group": "Cmcm", "total_energy_ev_per_atom": -4.24}

No. 6
{"formula": "Pm3NdErTh", "functional": "PBE", "state": "relaxed", "lattice_angstrom": [[8.1029, 0.0000, 0.0000], [0.0000, 5.1231, 0.0000], [-3.2515, 0.0000, 9.7125]], "species": ["Pm", "Pm", "Pm", "Pm", "Pm", "Pm", "Nd", "Nd", "Er", "Er", "Th", "Th"], "frac_coords": [[0.1730, 0.2500, 0.0441], [0.1790, 0.2500, 0.5450], [0.1794, 0.7500, 0.2946], [0.8206, 0.2500, 0.7054], [0.8210, 0.7500, 0.4550], [0.8270, 0.7500, 0.9559], [0.1712, 0.7500, 0.7927], [0.8288, 0.2500, 0.2073], [0.4997, 0.2500, 0.8722], [0.5003, 0.7500, 0.1278], [0.4995, 0.2500, 0.3778], [0.5005, 0.7500, 0.6222]], "magnetic_moment_mub_per_fu": 0.0, "crystal_system": "monoclinic", "space_group": "P2_1/m", "total_energy_ev_per_atom": -5.14}

No. 7
{"formula": "La3In", "functional": "PBE", "state": "relaxed", "lattice_angstrom": [[5.5388, 3.1978, 1.2241], [-5.5388, 3.1978, 1.2241], [0.0000, -6.3956, 1.2241]], "species": ["La", "La", "La", "In"], "frac_coords": [[0.0000, 0.5000, 0.5000], [0.5000, 0.0000, 0.5000], [0.5000, 0.5000, 0.0000], [0.0000, 0.0000, 0.0000]], "magnetic_moment_mub_per_fu": 0.0, "relative_energy_ev_per_atom": 0.1304, "crystal_system": "trigonal", "space_group": "R-3m", "total_energy_ev_per_atom": -4.55}

No. 8
{"formula": "Ac2YIn", "functional": "PBE", "state": "relaxed", "lattice_angstrom": [[1.9515, 1.1267, 11.5032], [-1.9515, 1.1267, 11.5032], [0.0000, -2.2534, 11.5032]], "species": ["Ac", "Ac", "Y", "In"], "frac_coords": [[0.0000, 0.0000, 0.0000], [0.1763, 0.1763, 0.1763], [0.7548, 0.7548, 0.7548], [0.5881, 0.5881, 0.5881]], "magnetic_moment_mub_per_fu": 0.6, "relative_energy_ev_per_atom": 0.1325, "crystal_system": "trigonal", "space_group": "R3m", "total_energy_ev_per_atom": -4.41}

No. 9
{"formula": "SmTl2IrO6", "functional": "PBE", "state": "relaxed", "lattice_angstrom": [[3.0061, 1.7356, 10.6824], [-3.0061, 1.7356, 10.6824], [0.0000, -3.4711, 10.6824]], "species": ["Sm", "Sm", "Tl", "Tl", "Tl", "Tl", "Ir", "Ir", "O", "O", "O", "O", "O", "O", "O", "O", "O", "O", "O", "O"], "frac_coords": [[0.0937, 0.0937, 0.0937], [0.9063, 0.9063, 0.9063], [0.2036, 0.2036, 0.2036], [0.3478, 0.3478, 0.3478], [0.6522, 0.6522, 0.6522], [0.7964, 0.7964, 0.7964], [0.0000, 0.0000, 0.0000], [0.5000, 0.5000, 0.5000], [0.1154, 0.1154, 0.6634], [0.1154, 0.6634, 0.1154], [0.2273, 0.6872, 0.6872], [0.3128, 0.3128, 0.7727], [0.3128, 0.7727, 0.3128], [0.3366, 0.8846, 0.8846], [0.6634, 0.1154, 0.1154], [0.6872, 0.2273, 0.6872], [0.6872, 0.6872, 0.2273], [0.7727, 0.3128, 0.3128], [0.8846, 0.3366, 0.8846], [0.8846, 0.8846, 0.3366]], "magnetic_moment_mub_per_fu": 0.6, "crystal_system": "trigonal", "formation_energy_uncorrected_kj_per_mol_atoms": -122.8, "space_group": "R-3m", "total_energy_ev_per_atom": -6.08}

No. 10
{"formula": "Ta3MnNb4", "functional": "PBE", "state": "relaxed", "lattice_angstrom": [[3.2397, 0.0000, 0.0000], [0.0000, 3.2397, 0.0000], [0.0000, 0.0000, 13.2293]], "species": ["Ta", "Ta", "Ta", "Mn", "Nb", "Nb", "Nb", "Nb"], "frac_coords": [[0.0000, 0.0000, 0.0000], [0.0000, 0.0000, 0.2568], [0.0000, 0.0000, 0.7432], [0.0000, 0.0000, 0.5000], [0.5000, 0.5000, 0.1299], [0.5000, 0.5000, 0.3871], [0.5000, 0.5000, 0.6129], [0.5000, 0.5000, 0.8701]], "magnetic_moment_mub_per_fu": 0.0, "crystal_system": "tetragonal", "space_group": "P4/mmm", "total_energy_ev_per_atom": -10.64}

No. 11
{"formula": "NaSrOsO4", "functional": "PBE", "state": "relaxed", "lattice_angstrom": [[-1.9143, 1.9143, 6.4341], [1.9143, -1.9143, 6.4341], [1.9143, 1.9143, -6.4341]], "species": ["Na", "Sr", "Os", "O", "O", "O", "O"], "frac_coords": [[0.0000, 0.0000, 0.0000], [0.6855, 0.6855, 0.0000], [0.3487, 0.3487, 0.0000], [0.1860, 0.1860, 0.0000], [0.3449, 0.8449, 0.5000], [0.5020, 0.5020, 0.0000], [0.8449, 0.3449, 0.5000]], "magnetic_moment_mub_per_fu": 0.0, "crystal_system": "tetragonal", "formation_energy_uncorrected_kj_per_mol_atoms": -163.1, "space_group": "I4mm", "total_energy_ev_per_atom": -6.56}

No. 12
{"formula": "KI2Cl6", "functional": "PBE", "state": "relaxed", "lattice_angstrom": [[5.7415, -7.7599, 0.0000], [5.7415, 7.7599, 0.0000], [-3.5852, 0.0000, 8.1624]], "species": ["K", "K", "I", "I", "I", "I", "Cl", "Cl", "Cl", "Cl", "Cl", "Cl", "Cl", "Cl", "Cl", "Cl", "Cl", "Cl"], "frac_coords": [[0.1354, 0.8646, 0.7500], [0.8646, 0.1354, 0.2500], [0.2692, 0.4097, 0.8320], [0.4097, 0.2692, 0.3320], [0.5903, 0.7308, 0.6680], [0.7308, 0.5903, 0.1680], [0.0679, 0.5200, 0.7673], [0.0878, 0.1354, 0.6046], [0.1354, 0.0878, 0.1046], [0.3002, 0.4760, 0.3982], [0.4760, 0.3002, 0.8982], [0.4800, 0.9321, 0.7327], [0.5200, 0.0679, 0.2673], [0.5240, 0.6998, 0.1018], [0.6998, 0.5240, 0.6018], [0.8646, 0.9122, 0.8954], [0.9122, 0.8646, 0.3954], [0.9321, 0.4800, 0.2327]], "magnetic_moment_mub_per_fu": 0.0, "relative_energy_ev_per_atom": 0.0000, "crystal_system": "monoclinic", "formation_energy_uncorrected_kj_per_mol_atoms": -50.8, "space_group": "C2/c", "total_energy_ev_per_atom": -2.22}